This record from Alexandria describes a relaxed structure of NaMg3V4O12. The functional is PBE+U.

```
NaMg3V4O12
1.0
5.661 3.268 2.265
-5.661 3.268 2.265
0.000 -6.537 2.265
Na Mg V O
1 3 4 12
Cartesian
0.000 0.000 0.000
-3.197 -0.999 2.265
2.464 -2.269 2.265
0.733 3.268 2.265
-2.461 -4.263 3.398
0.000 0.000 3.398
-2.461 4.263 3.398
4.923 0.000 3.398
-4.662 0.000 3.398
-3.117 -2.584 3.535
-0.680 -3.991 3.261
-3.117 2.584 3.261
-1.732 0.000 3.398
2.331 -4.037 3.398
0.866 -1.500 3.398
0.866 1.500 3.398
-0.680 3.991 3.535
3.796 -1.407 3.535
3.796 1.407 3.261
2.331 4.037 3.398
```

Computed properties:
* electronic total energy: -6.734 eV/atom
* magnetic moment: 3.00 Bohr magnetons per cell

***

This record from Alexandria describes a relaxed structure of Na3Mg2V3O12. The functional is PBE+U.

```
Na3Mg2V3O12
1.0
-6.339 6.339 6.339
6.339 -6.339 6.339
6.339 6.339 -6.339
Na Mg V O
12 8 12 48
Cartesian
3.170 1.585 0.000
6.339 3.170 -1.585
1.585 0.000 3.170
7.924 0.000 3.170
0.000 3.170 1.585
3.170 -1.585 6.339
3.170 7.924 0.000
6.339 3.170 4.754
-1.585 6.339 3.170
4.754 6.339 3.170
0.000 3.170 7.924
3.170 4.754 6.339
0.000 0.000 0.000
3.170 3.170 -3.170
3.170 -3.170 3.170
6.339 0.000 0.000
-3.170 3.170 3.170
0.000 6.339 0.000
0.000 0.000 6.339
3.170 3.170 3.170
9.509 1.585 0.000
6.339 -3.170 4.754
4.754 6.339 -3.170
4.754 0.000 3.170
3.170 4.754 0.000
6.339 3.170 1.585
0.000 3.170 4.754
3.170 1.585 6.339
1.585 6.339 3.170
1.585 0.000 9.509
0.000 9.509 1.585
-3.170 4.754 6.339
1.939 -0.514 0.620
7.570 3.790 -3.684
8.278 0.514 0.620
7.570 -2.549 3.684
5.825 -0.620 1.939
10.023 -1.231 2.549
0.620 1.939 -0.514
8.888 2.655 -1.231
3.790 3.684 -1.231
5.719 1.939 0.514
-0.514 0.620 1.939
3.684 -1.231 3.790
5.825 5.719 -1.939
3.684 1.231 2.549
3.790 -3.684 7.570
5.719 -1.939 5.825
2.549 3.684 1.231
6.959 4.400 0.514
3.684 7.570 -2.549
5.825 0.620 4.400
1.939 5.825 -0.620
7.570 2.549 2.655
1.231 2.549 3.684
1.939 0.514 5.719
4.400 5.825 0.620
5.108 3.790 2.655
-1.231 3.790 3.684
4.400 0.514 6.959
0.514 5.719 1.939
2.655 -1.231 8.888
-0.620 1.939 5.825
3.790 2.655 5.108
0.620 8.278 0.514
2.549 10.023 -1.231
2.655 5.108 3.790
0.514 0.620 8.278
2.655 7.570 2.549
6.853 5.719 4.400
0.620 4.400 5.825
2.549 2.655 7.570
-2.549 3.684 7.570
5.719 4.400 6.853
-3.684 7.570 3.790
0.514 6.959 4.400
-1.231 8.888 2.655
-1.939 5.825 5.719
-1.231 2.549 10.023
4.400 6.853 5.719
```

Computed properties:
* electronic total energy: -6.380 eV/atom
* magnetic moment: 8.45 Bohr magnetons per cell

***

This record from Alexandria describes a relaxed structure of NaMgW2O8. The functional is PBE+U.

```
NaMgW2O8
1.0
-3.561 3.561 3.413
3.561 -3.561 3.413
3.561 3.561 -3.413
Na Mg W O
1 1 2 8
Cartesian
0.000 0.000 0.000
3.561 0.000 1.707
0.000 0.000 3.413
0.000 3.561 1.707
2.052 3.561 -1.028
1.509 0.000 2.385
0.000 2.134 0.595
3.561 2.052 1.028
0.000 4.988 0.595
0.000 1.509 4.441
-1.427 3.561 2.819
1.427 3.561 2.819
```

Computed properties:
* electronic total energy: -6.551 eV/atom
* magnetic moment: 1.11 Bohr magnetons per cell

***

This record from Alexandria describes a relaxed structure of Na3Mg2W3O12. The functional is PBE+U.

```
Na3Mg2W3O12
1.0
6.167 -6.812 0.000
6.167 6.812 0.000
-2.876 0.000 6.674
Na Mg W O
6 4 6 24
Cartesian
0.000 0.000 0.000
-1.438 0.000 3.337
4.010 3.591 5.005
5.448 0.428 1.668
4.010 -0.428 5.005
5.448 -3.591 1.668
1.048 2.136 5.840
2.486 -2.136 2.503
6.973 2.136 4.171
8.411 -2.136 0.834
2.266 1.549 2.511
5.448 3.809 1.668
0.828 -1.549 5.847
8.630 1.549 0.826
4.010 -3.809 5.005
7.193 -1.549 4.163
4.016 5.023 1.808
0.588 1.186 2.046
2.956 2.489 1.076
2.213 2.370 4.137
-0.849 -1.186 5.383
6.881 5.023 1.528
5.678 2.598 0.210
1.664 0.070 6.033
5.219 2.598 3.127
3.102 -0.070 2.697
1.518 -2.489 4.413
3.650 -2.370 0.800
5.808 2.370 5.873
7.941 2.489 2.261
6.357 0.070 3.977
4.240 -2.598 3.546
7.795 -0.070 0.640
3.781 -2.598 6.464
2.578 -5.023 5.145
10.308 1.186 1.290
7.246 -2.370 2.537
6.503 -2.489 5.598
8.870 -1.186 4.627
5.443 -5.023 4.865
```

Computed properties:
* electronic total energy: -6.512 eV/atom
* magnetic moment: 2.00 Bohr magnetons per cell

***

Number 1: Fermi-level density of states 0.3179 states/eV per atom. Number 2: Fermi-level density of states 0.7458 states/eV per atom. Number 3: Fermi-level density of states 0.8071 states/eV per atom. Number 4: Fermi-level density of states 0.0000 states/eV per atom.